1.
Material: Zr2Rh2O7
Method: DFT, PBE
State: relaxed

Cell: 7.065 7.065 7.065 Å, 60.00 60.00 60.00°
Element x y z (fractional)
Zr 0.000 0.000 0.000
Zr 0.000 0.000 0.500
Zr 0.000 0.500 0.000
Zr 0.500 0.000 0.000
Rh 0.000 0.500 0.500
Rh 0.500 0.000 0.500
Rh 0.500 0.500 0.000
Rh 0.500 0.500 0.500
O 0.125 0.125 0.125
O 0.142 0.142 0.608
O 0.142 0.608 0.142
O 0.142 0.608 0.608
O 0.392 0.392 0.858
O 0.392 0.858 0.392
O 0.392 0.858 0.858
O 0.608 0.142 0.142
O 0.608 0.142 0.608
O 0.608 0.608 0.142
O 0.858 0.392 0.392
O 0.858 0.392 0.858
O 0.858 0.858 0.392
O 0.875 0.875 0.875

E_form (uncorrected) (eV/atom): -2.04


2.
Material: Fe3NiP4
Method: DFT, PBE
State: relaxed

Cell: 5.039 3.248 5.635 Å, 90.00 90.33 90.00°
Element x y z (fractional)
Fe 0.000 0.000 0.000
Fe 0.002 0.500 0.599
Fe 0.501 0.000 0.096
Ni 0.503 0.500 0.498
P 0.188 0.500 0.218
P 0.301 0.000 0.726
P 0.703 0.500 0.888
P 0.822 0.000 0.373

VASP energy (eV per cell): -57.3


3.
Material: Li2BePt
Method: DFT, PBE
State: relaxed

Cell: 2.761 4.426 4.065 Å, 90.00 95.85 90.00°
Element x y z (fractional)
Li 0.233 0.000 0.246
Li 0.767 0.000 0.754
Be 0.000 0.500 0.500
Pt 0.500 0.500 0.000

VASP energy (eV per cell): -15.0


4.
Material: Tb2Pr15In2
Method: DFT, PBE
State: relaxed

Cell: 8.872 8.872 8.872 Å, 78.00 78.00 78.00°
Element x y z (fractional)
Tb 0.200 0.200 0.200
Tb 0.800 0.800 0.800
Pr 0.000 0.500 0.500
Pr 0.109 0.109 0.666
Pr 0.109 0.666 0.109
Pr 0.210 0.500 0.790
Pr 0.210 0.790 0.500
Pr 0.334 0.891 0.891
Pr 0.500 0.000 0.500
Pr 0.500 0.210 0.790
Pr 0.500 0.500 0.000
Pr 0.500 0.790 0.210
Pr 0.666 0.109 0.109
Pr 0.790 0.210 0.500
Pr 0.790 0.500 0.210
Pr 0.891 0.334 0.891
Pr 0.891 0.891 0.334
In 0.405 0.405 0.405
In 0.595 0.595 0.595

VASP energy (eV per cell): -83.9


5.
Material: Mn2AlRe
Method: DFT, PBE
State: relaxed

Cell: 4.736 4.736 4.736 Å, 140.60 128.54 66.68°
Element x y z (fractional)
Mn 0.245 0.245 0.000
Mn 0.755 0.755 0.000
Al 0.500 0.000 0.500
Re 0.000 0.500 0.500

VASP energy (eV per cell): -34.8


6.
Material: PmErScSe3
Method: DFT, PBE
State: relaxed

Cell: 8.293 4.038 9.258 Å, 90.00 104.30 90.00°
Element x y z (fractional)
Pm 0.178 0.250 0.221
Pm 0.822 0.750 0.779
Er 0.339 0.750 0.853
Er 0.661 0.250 0.147
Sc 0.102 0.250 0.597
Sc 0.898 0.750 0.403
Se 0.101 0.250 0.885
Se 0.246 0.750 0.488
Se 0.431 0.750 0.173
Se 0.569 0.250 0.827
Se 0.754 0.250 0.512
Se 0.899 0.750 0.115

E_form (uncorrected) (eV/atom): -1.55


7.
Material: AlZn2Fe2
Method: DFT, PBE
State: relaxed

Cell: 6.171 6.171 3.629 Å, 90.00 90.00 90.00°
Element x y z (fractional)
Al 0.000 0.000 0.000
Al 0.500 0.500 0.000
Zn 0.165 0.335 0.500
Zn 0.335 0.835 0.500
Zn 0.665 0.165 0.500
Zn 0.835 0.665 0.500
Fe 0.131 0.631 0.000
Fe 0.369 0.131 0.000
Fe 0.631 0.869 0.000
Fe 0.869 0.369 0.000

VASP energy (eV per cell): -45.6


8.
Material: GaSnH
Method: DFT, PBE
State: relaxed

Cell: 8.468 3.447 7.032 Å, 90.00 90.00 90.00°
Element x y z (fractional)
Ga 0.007 0.250 0.162
Ga 0.493 0.750 0.662
Ga 0.507 0.250 0.338
Ga 0.993 0.750 0.838
Sn 0.197 0.250 0.580
Sn 0.303 0.750 0.080
Sn 0.697 0.250 0.920
Sn 0.803 0.750 0.420
H 0.153 0.750 0.415
H 0.347 0.250 0.915
H 0.653 0.750 0.085
H 0.847 0.250 0.585

VASP energy (eV per cell): -37.7


9.
Material: Hf6InPd12
Method: DFT, PBE
State: relaxed

Cell: 7.005 7.005 7.005 Å, 94.07 94.07 94.07°
Element x y z (fractional)
Hf 0.188 0.747 0.352
Hf 0.253 0.648 0.812
Hf 0.352 0.188 0.747
Hf 0.648 0.812 0.253
Hf 0.747 0.352 0.188
Hf 0.812 0.253 0.648
In 0.500 0.500 0.500
Pd 0.025 0.959 0.709
Pd 0.041 0.291 0.975
Pd 0.131 0.371 0.465
Pd 0.291 0.975 0.041
Pd 0.371 0.465 0.131
Pd 0.465 0.131 0.371
Pd 0.535 0.869 0.629
Pd 0.629 0.535 0.869
Pd 0.709 0.025 0.959
Pd 0.869 0.629 0.535
Pd 0.959 0.709 0.025
Pd 0.975 0.041 0.291

VASP energy (eV per cell): -135.6


10.
Material: Na7In5
Method: DFT, PBE
State: relaxed

Cell: 6.417 6.417 10.994 Å, 90.79 90.79 50.98°
Element x y z (fractional)
Na 0.000 0.000 0.000
Na 0.173 0.173 0.250
Na 0.344 0.344 0.505
Na 0.475 0.475 0.204
Na 0.525 0.525 0.796
Na 0.656 0.656 0.495
Na 0.827 0.827 0.750
In 0.000 0.000 0.500
In 0.144 0.144 0.714
In 0.285 0.285 0.946
In 0.715 0.715 0.054
In 0.856 0.856 0.286

VASP energy (eV per cell): -24.0


11.
Material: ScIrOs2Se
Method: DFT, PBE
State: relaxed

Cell: 4.729 4.729 4.981 Å, 90.00 90.00 90.00°
Element x y z (fractional)
Sc 0.000 0.000 0.000
Ir 0.000 0.000 0.500
Os 0.000 0.500 0.500
Os 0.500 0.000 0.500
Se 0.500 0.500 0.000

E_form (uncorrected) (eV/atom): 1.25


12.
Material: MgTlInSn
Method: DFT, PBE
State: relaxed

Cell: 3.430 3.430 9.049 Å, 90.00 90.00 90.00°
Element x y z (fractional)
Mg 0.000 0.000 0.000
Tl 0.000 0.000 0.494
In 0.500 0.500 0.776
Sn 0.500 0.500 0.216

VASP energy (eV per cell): -10.9


| no. | V (Å³ per atom) | magnetic moment (μB/atom) |
| --- | --- | --- |
| 1 | 11.3 | 0.000 |
| 2 | 11.5 | 0.000 |
| 3 | 12.4 | 0.000 |
| 4 | 34.6 | 0.000 |
| 5 | 13.0 | 0.749 |
| 6 | 25.0 | 0.149 |
| 7 | 13.8 | 0.630 |
| 8 | 17.1 | 0.000 |
| 9 | 17.9 | 0.000 |
| 10 | 29.3 | 0.000 |
| 11 | 22.3 | 0.184 |
| 12 | 26.6 | 0.000 |